VASP calculation (GGA-PBEsol) on an optimized crystal structure of CaMg4Zn8. Values from VASP.

Output
total moment	0.00	μB per cell
total energy	-1.730	eV per atom
energy of formation	-0.064	eV per atom

```
&SYSTEM
  ibrav = 0, nat = 13, ntyp = 3
/
ATOMIC_SPECIES
Ca 40.08 Ca.upf
Mg 24.30 Mg.upf
Zn 65.41 Zn.upf
CELL_PARAMETERS angstrom
4.755 0.000 0.000
2.378 6.935 0.000
2.378 0.000 6.935
ATOMIC_POSITIONS crystal
Ca 0.000 0.000 0.000
Mg 0.500 0.229 0.771
Mg 0.500 0.771 0.229
Mg 0.729 0.771 0.771
Mg 0.271 0.229 0.229
Zn 0.212 0.576 0.000
Zn 0.788 0.424 0.000
Zn 0.788 0.000 0.424
Zn 0.212 0.000 0.576
Zn 0.628 0.372 0.372
Zn 0.372 0.628 0.628
Zn 0.000 0.372 0.628
Zn 0.000 0.628 0.372
```